No. 1
# CaErPdAu | the Alexandria database | GGA-PBE | relaxed
# **Formation enthalpy at 0 K**: -0.802 eV per atom
# **ρ**: 9.6 g/cm³
# **Total DFT energy (no corrections)**: -72.96 eV per cell
# **Distance to the lowest polymorph of the same formula**: 22.7 meV per atom
data_CaErPdAu
_cell_length_a 7.079
_cell_length_b 7.079
_cell_length_c 7.079
_cell_angle_alpha 90.00
_cell_angle_beta 90.00
_cell_angle_gamma 90.00
_symmetry_space_group_name_H-M 'F -4 3 m'
_symmetry_Int_Tables_number 216
_symmetry_space_group_name_Hall 'F -4 2 3'
loop_
_atom_site_label
_atom_site_fract_x
_atom_site_fract_y
_atom_site_fract_z
Ca1 0.000 0.000 0.000
Er1 0.000 0.000 0.500
Pd1 0.250 0.250 0.750
Au1 0.250 0.250 0.250

No. 2
# CaErPdAu | the Alexandria database | GGA-PBE | relaxed
# **Formation enthalpy at 0 K**: -0.824 eV per atom
# **ρ**: 9.0 g/cm³
# **Total DFT energy (no corrections)**: -36.66 eV per cell
# **Distance to the lowest polymorph of the same formula**: 0.0 meV per atom
data_CaErPdAu
_cell_length_a 4.518
_cell_length_b 3.811
_cell_length_c 10.912
_cell_angle_alpha 90.00
_cell_angle_beta 90.00
_cell_angle_gamma 90.00
_symmetry_space_group_name_H-M 'A m m 2'
_symmetry_Int_Tables_number 38
loop_
_symmetry_equiv_pos_as_xyz
'x,y,z'
'-x,-y,z'
'-x,y,z'
'x,-y,z'
'x,y+1/2,z+1/2'
'-x,-y+1/2,z+1/2'
'-x,y+1/2,z+1/2'
'x,-y+1/2,z+1/2'
loop_
_atom_site_label
_atom_site_fract_x
_atom_site_fract_y
_atom_site_fract_z
Ca1 0.000 0.000 0.000
Er1 0.500 0.000 0.278
Pd1 0.000 0.000 0.730
Au1 0.500 0.000 0.561

No. 3
# CaPm2ErAu4 | the Alexandria database | GGA-PBE | relaxed
# **Formation enthalpy at 0 K**: -0.826 eV per atom
# **ρ**: 11.0 g/cm³
# **Total DFT energy (no corrections)**: -107.34 eV per cell
data_CaPm2ErAu4
_cell_length_a 5.1454
_cell_length_b 5.1454
_cell_length_c 25.4253
_cell_angle_alpha 90.00
_cell_angle_beta 90.00
_cell_angle_gamma 120.00
_symmetry_space_group_name_H-M 'R -3 m'
_symmetry_Int_Tables_number 166
_symmetry_space_group_name_Hall '-R 3 2"'
loop_
_atom_site_label
_atom_site_fract_x
_atom_site_fract_y
_atom_site_fract_z
Ca1 0.0000 0.0000 0.0000
Pm1 0.0000 0.0000 0.2518
Er1 0.0000 0.0000 0.5000
Au1 0.0000 0.0000 0.1308
Au2 0.0000 0.0000 0.3801

No. 4
# CaPrEr2Au4 | the Alexandria database | GGA-PBE | relaxed
# **Formation enthalpy at 0 K**: -0.804 eV per atom
# **ρ**: 11.3 g/cm³
# **Total DFT energy (no corrections)**: -106.34 eV per cell
data_CaPrEr2Au4
_cell_length_a 5.1107
_cell_length_b 5.1107
_cell_length_c 25.3359
_cell_angle_alpha 90.00
_cell_angle_beta 90.00
_cell_angle_gamma 120.00
_symmetry_space_group_name_H-M 'R -3 m'
_symmetry_Int_Tables_number 166
_symmetry_space_group_name_Hall '-R 3 2"'
loop_
_atom_site_label
_atom_site_fract_x
_atom_site_fract_y
_atom_site_fract_z
Ca1 0.0000 0.0000 0.0000
Pr1 0.0000 0.0000 0.5000
Er1 0.0000 0.0000 0.2532
Au1 0.0000 0.0000 0.1231
Au2 0.0000 0.0000 0.3760

No. 5
# CaErRhAu | the Alexandria database | GGA-PBE | relaxed
# **Formation enthalpy at 0 K**: -0.707 eV per atom
# **ρ**: 9.9 g/cm³
# **Total DFT energy (no corrections)**: -80.09 eV per cell
data_CaErRhAu
_cell_length_a 6.987
_cell_length_b 6.987
_cell_length_c 6.987
_cell_angle_alpha 90.00
_cell_angle_beta 90.00
_cell_angle_gamma 90.00
_symmetry_space_group_name_H-M 'F -4 3 m'
_symmetry_Int_Tables_number 216
_symmetry_space_group_name_Hall 'F -4 2 3'
loop_
_atom_site_label
_atom_site_fract_x
_atom_site_fract_y
_atom_site_fract_z
Ca1 0.000 0.000 0.000
Er1 0.000 0.000 0.500
Rh1 0.250 0.250 0.250
Au1 0.250 0.250 0.750

No. 6
# CaErSiAu | the Alexandria database | GGA-PBE | relaxed
# **ρ**: 7.9 g/cm³
# **Total DFT energy (no corrections)**: -71.47 eV per cell
# **Formation energy from raw total energies**: -2.60 eV/f.u.
data_CaErSiAu
_cell_length_a 7.132
_cell_length_b 7.132
_cell_length_c 7.132
_cell_angle_alpha 90.00
_cell_angle_beta 90.00
_cell_angle_gamma 90.00
_symmetry_space_group_name_H-M 'F -4 3 m'
_symmetry_Int_Tables_number 216
_symmetry_space_group_name_Hall 'F -4 2 3'
loop_
_atom_site_label
_atom_site_fract_x
_atom_site_fract_y
_atom_site_fract_z
Ca1 0.000 0.000 0.000
Er1 0.000 0.000 0.500
Si1 0.250 0.250 0.250
Au1 0.250 0.250 0.750

No. 7
# Ca2ErSi3Au12 | the Alexandria database | GGA-PBE | relaxed
# **ρ**: 10.9 g/cm³
# **Total DFT energy (no corrections)**: -203.08 eV per cell
# **Formation energy from raw total energies**: -3.53 eV/f.u.
data_Ca2ErSi3Au12
_cell_length_a 8.9529
_cell_length_b 8.9529
_cell_length_c 17.6736
_cell_angle_alpha 90.00
_cell_angle_beta 90.00
_cell_angle_gamma 120.00
_symmetry_space_group_name_H-M 'R -3 m'
_symmetry_Int_Tables_number 166
_symmetry_space_group_name_Hall '-R 3 2"'
loop_
_atom_site_label
_atom_site_fract_x
_atom_site_fract_y
_atom_site_fract_z
Ca1 0.0000 0.0000 0.0948
Er1 0.0000 0.0000 0.5000
Si1 0.0000 0.5000 0.0000
Au1 0.0309 0.5155 0.3187
Au2 0.0315 0.5157 0.8613

No. 8
# CaSmEr2Au4 | the Alexandria database | GGA-PBE | relaxed
# **Formation enthalpy at 0 K**: -0.827 eV per atom
# **ρ**: 11.6 g/cm³
# **Total DFT energy (no corrections)**: -106.72 eV per cell
data_CaSmEr2Au4
_cell_length_a 5.0963
_cell_length_b 5.0963
_cell_length_c 25.0657
_cell_angle_alpha 90.00
_cell_angle_beta 90.00
_cell_angle_gamma 120.00
_symmetry_space_group_name_H-M 'R -3 m'
_symmetry_Int_Tables_number 166
_symmetry_space_group_name_Hall '-R 3 2"'
loop_
_atom_site_label
_atom_site_fract_x
_atom_site_fract_y
_atom_site_fract_z
Ca1 0.0000 0.0000 0.0000
Sm1 0.0000 0.0000 0.5000
Er1 0.0000 0.0000 0.2522
Au1 0.0000 0.0000 0.1275
Au2 0.0000 0.0000 0.3769

No. 9
# CaEr2SnAu4 | the Alexandria database | GGA-PBE | relaxed
# **Formation enthalpy at 0 K**: -0.766 eV per atom
# **ρ**: 11.9 g/cm³
# **Total DFT energy (no corrections)**: -103.11 eV per cell
data_CaEr2SnAu4
_cell_length_a 4.9764
_cell_length_b 4.9764
_cell_length_c 24.9349
_cell_angle_alpha 90.00
_cell_angle_beta 90.00
_cell_angle_gamma 120.00
_symmetry_space_group_name_H-M 'R -3 m'
_symmetry_Int_Tables_number 166
_symmetry_space_group_name_Hall '-R 3 2"'
loop_
_atom_site_label
_atom_site_fract_x
_atom_site_fract_y
_atom_site_fract_z
Ca1 0.0000 0.0000 0.0000
Er1 0.0000 0.0000 0.2446
Sn1 0.0000 0.0000 0.5000
Au1 0.0000 0.0000 0.1196
Au2 0.0000 0.0000 0.3718

No. 10
# SrCa2ErAu4 | the Alexandria database | GGA-PBE | relaxed
# **Formation enthalpy at 0 K**: -0.788 eV per atom
# **ρ**: 9.4 g/cm³
# **Total DFT energy (no corrections)**: -88.98 eV per cell
data_SrCa2ErAu4
_cell_length_a 5.1561
_cell_length_b 5.1561
_cell_length_c 25.7577
_cell_angle_alpha 90.00
_cell_angle_beta 90.00
_cell_angle_gamma 120.00
_symmetry_space_group_name_H-M 'R -3 m'
_symmetry_Int_Tables_number 166
_symmetry_space_group_name_Hall '-R 3 2"'
loop_
_atom_site_label
_atom_site_fract_x
_atom_site_fract_y
_atom_site_fract_z
Sr1 0.0000 0.0000 0.0000
Ca1 0.0000 0.0000 0.2493
Er1 0.0000 0.0000 0.5000
Au1 0.0000 0.0000 0.1323
Au2 0.0000 0.0000 0.3840

No. 11
# CaTbEr2Au4 | the Alexandria database | GGA-PBE | relaxed
# **Formation enthalpy at 0 K**: -0.847 eV per atom
# **ρ**: 11.8 g/cm³
# **Total DFT energy (no corrections)**: -106.93 eV per cell
data_CaTbEr2Au4
_cell_length_a 5.0687
_cell_length_b 5.0687
_cell_length_c 24.9970
_cell_angle_alpha 90.00
_cell_angle_beta 90.00
_cell_angle_gamma 120.00
_symmetry_space_group_name_H-M 'R -3 m'
_symmetry_Int_Tables_number 166
_symmetry_space_group_name_Hall '-R 3 2"'
loop_
_atom_site_label
_atom_site_fract_x
_atom_site_fract_y
_atom_site_fract_z
Ca1 0.0000 0.0000 0.0000
Tb1 0.0000 0.0000 0.5000
Er1 0.0000 0.0000 0.2518
Au1 0.0000 0.0000 0.1295
Au2 0.0000 0.0000 0.3782

No. 12
# CaTb2ErAu4 | the Alexandria database | GGA-PBE | relaxed
# **Formation enthalpy at 0 K**: -0.850 eV per atom
# **ρ**: 11.6 g/cm³
# **Total DFT energy (no corrections)**: -107.22 eV per cell
data_CaTb2ErAu4
_cell_length_a 5.0833
_cell_length_b 5.0833
_cell_length_c 25.1136
_cell_angle_alpha 90.00
_cell_angle_beta 90.00
_cell_angle_gamma 120.00
_symmetry_space_group_name_H-M 'R -3 m'
_symmetry_Int_Tables_number 166
_symmetry_space_group_name_Hall '-R 3 2"'
loop_
_atom_site_label
_atom_site_fract_x
_atom_site_fract_y
_atom_site_fract_z
Ca1 0.0000 0.0000 0.0000
Tb1 0.0000 0.0000 0.2516
Er1 0.0000 0.0000 0.5000
Au1 0.0000 0.0000 0.1304
Au2 0.0000 0.0000 0.3796

No. 13
# CaErTlAu | the Alexandria database | GGA-PBE | relaxed
# **Formation enthalpy at 0 K**: -0.626 eV per atom
# **ρ**: 9.8 g/cm³
# **Total DFT energy (no corrections)**: -14.71 eV per cell
# **Distance to the lowest polymorph of the same formula**: 0.0 meV per atom
data_CaErTlAu
_cell_length_a 3.704
_cell_length_b 3.704
_cell_length_c 7.518
_cell_angle_alpha 90.00
_cell_angle_beta 90.00
_cell_angle_gamma 90.00
_symmetry_space_group_name_H-M 'P 4 m m'
_symmetry_Int_Tables_number 99
loop_
_symmetry_equiv_pos_as_xyz
'x,y,z'
'-y,x,z'
'-x,-y,z'
'y,-x,z'
'-x,y,z'
'y,x,z'
'x,-y,z'
'-y,-x,z'
loop_
_atom_site_label
_atom_site_fract_x
_atom_site_fract_y
_atom_site_fract_z
Ca1 0.000 0.000 0.000
Er1 0.000 0.000 0.460
Tl1 0.500 0.500 0.723
Au1 0.500 0.500 0.261

No. 14
# CaErTlAu | the Alexandria database | GGA-PBE | relaxed
# **Formation enthalpy at 0 K**: -0.568 eV per atom
# **ρ**: 10.0 g/cm³
# **Total DFT energy (no corrections)**: -57.92 eV per cell
# **Distance to the lowest polymorph of the same formula**: 58.0 meV per atom
data_CaErTlAu
_cell_length_a 7.402
_cell_length_b 7.402
_cell_length_c 7.402
_cell_angle_alpha 90.00
_cell_angle_beta 90.00
_cell_angle_gamma 90.00
_symmetry_space_group_name_H-M 'F -4 3 m'
_symmetry_Int_Tables_number 216
_symmetry_space_group_name_Hall 'F -4 2 3'
loop_
_atom_site_label
_atom_site_fract_x
_atom_site_fract_y
_atom_site_fract_z
Ca1 0.000 0.000 0.000
Er1 0.000 0.000 0.500
Tl1 0.250 0.250 0.750
Au1 0.250 0.250 0.250

No. 15
# CaErTm2Au4 | the Alexandria database | GGA-PBE | relaxed
# **Formation enthalpy at 0 K**: -0.858 eV per atom
# **ρ**: 12.1 g/cm³
# **Total DFT energy (no corrections)**: -106.45 eV per cell
data_CaErTm2Au4
_cell_length_a 5.0339
_cell_length_b 5.0339
_cell_length_c 24.9169
_cell_angle_alpha 90.00
_cell_angle_beta 90.00
_cell_angle_gamma 120.00
_symmetry_space_group_name_H-M 'R -3 m'
_symmetry_Int_Tables_number 166
_symmetry_space_group_name_Hall '-R 3 2"'
loop_
_atom_site_label
_atom_site_fract_x
_atom_site_fract_y
_atom_site_fract_z
Ca1 0.0000 0.0000 0.0000
Er1 0.0000 0.0000 0.5000
Tm1 0.0000 0.0000 0.2513
Au1 0.0000 0.0000 0.1301
Au2 0.0000 0.0000 0.3793

No. 16
# CaEr2TmAu4 | the Alexandria database | GGA-PBE | relaxed
# **Formation enthalpy at 0 K**: -0.860 eV per atom
# **ρ**: 12.1 g/cm³
# **Total DFT energy (no corrections)**: -106.76 eV per cell
data_CaEr2TmAu4
_cell_length_a 5.0378
_cell_length_b 5.0378
_cell_length_c 24.9637
_cell_angle_alpha 90.00
_cell_angle_beta 90.00
_cell_angle_gamma 120.00
_symmetry_space_group_name_H-M 'R -3 m'
_symmetry_Int_Tables_number 166
_symmetry_space_group_name_Hall '-R 3 2"'
loop_
_atom_site_label
_atom_site_fract_x
_atom_site_fract_y
_atom_site_fract_z
Ca1 0.0000 0.0000 0.0000
Er1 0.0000 0.0000 0.2512
Tm1 0.0000 0.0000 0.5000
Au1 0.0000 0.0000 0.1304
Au2 0.0000 0.0000 0.3798

No. 17
# CaYEr2Au4 | the Alexandria database | GGA-PBE | relaxed
# **Formation enthalpy at 0 K**: -0.849 eV per atom
# **ρ**: 11.2 g/cm³
# **Total DFT energy (no corrections)**: -112.47 eV per cell
data_CaYEr2Au4
_cell_length_a 5.0646
_cell_length_b 5.0646
_cell_length_c 24.9970
_cell_angle_alpha 90.00
_cell_angle_beta 90.00
_cell_angle_gamma 120.00
_symmetry_space_group_name_H-M 'R -3 m'
_symmetry_Int_Tables_number 166
_symmetry_space_group_name_Hall '-R 3 2"'
loop_
_atom_site_label
_atom_site_fract_x
_atom_site_fract_y
_atom_site_fract_z
Ca1 0.0000 0.0000 0.0000
Y1 0.0000 0.0000 0.5000
Er1 0.0000 0.0000 0.2517
Au1 0.0000 0.0000 0.1296
Au2 0.0000 0.0000 0.3781

No. 18
# CaY2ErAu4 | the Alexandria database | GGA-PBE | relaxed
# **Formation enthalpy at 0 K**: -0.853 eV per atom
# **ρ**: 10.4 g/cm³
# **Total DFT energy (no corrections)**: -118.27 eV per cell
data_CaY2ErAu4
_cell_length_a 5.0760
_cell_length_b 5.0760
_cell_length_c 25.1049
_cell_angle_alpha 90.00
_cell_angle_beta 90.00
_cell_angle_gamma 120.00
_symmetry_space_group_name_H-M 'R -3 m'
_symmetry_Int_Tables_number 166
_symmetry_space_group_name_Hall '-R 3 2"'
loop_
_atom_site_label
_atom_site_fract_x
_atom_site_fract_y
_atom_site_fract_z
Ca1 0.0000 0.0000 0.0000
Y1 0.0000 0.0000 0.2515
Er1 0.0000 0.0000 0.5000
Au1 0.0000 0.0000 0.1303
Au2 0.0000 0.0000 0.3796

No. 19
# CaErZnAu | the Alexandria database | GGA-PBE | relaxed
# **Formation enthalpy at 0 K**: -0.547 eV per atom
# **ρ**: 8.5 g/cm³
# **Total DFT energy (no corrections)**: -53.21 eV per cell
# **Distance to the lowest polymorph of the same formula**: 24.1 meV per atom
data_CaErZnAu
_cell_length_a 7.173
_cell_length_b 7.173
_cell_length_c 7.173
_cell_angle_alpha 90.00
_cell_angle_beta 90.00
_cell_angle_gamma 90.00
_symmetry_space_group_name_H-M 'F -4 3 m'
_symmetry_Int_Tables_number 216
_symmetry_space_group_name_Hall 'F -4 2 3'
loop_
_atom_site_label
_atom_site_fract_x
_atom_site_fract_y
_atom_site_fract_z
Ca1 0.000 0.000 0.000
Er1 0.000 0.000 0.500
Zn1 0.250 0.250 0.750
Au1 0.250 0.250 0.250

No. 20
# CaEr2ZnAu4 | the Alexandria database | GGA-PBE | relaxed
# **Formation enthalpy at 0 K**: -0.716 eV per atom
# **ρ**: 11.9 g/cm³
# **Total DFT energy (no corrections)**: -93.73 eV per cell
data_CaEr2ZnAu4
_cell_length_a 4.9354
_cell_length_b 4.9354
_cell_length_c 24.3004
_cell_angle_alpha 90.00
_cell_angle_beta 90.00
_cell_angle_gamma 120.00
_symmetry_space_group_name_H-M 'R -3 m'
_symmetry_Int_Tables_number 166
_symmetry_space_group_name_Hall '-R 3 2"'
loop_
_atom_site_label
_atom_site_fract_x
_atom_site_fract_y
_atom_site_fract_z
Ca1 0.0000 0.0000 0.0000
Er1 0.0000 0.0000 0.2432
Zn1 0.0000 0.0000 0.5000
Au1 0.0000 0.0000 0.1236
Au2 0.0000 0.0000 0.3791